Here is a relaxed structure of SnINO2 from Alexandria. Energies are from GGA-PBE.

Unit cell a=4.240 b=4.240 c=4.209 alpha=90.00 beta=90.00 gamma=90.00
Sites, in units of the cell vectors:
Sn  0.000  0.000  0.000
I  0.500  0.500  0.500
N  0.500  0.500  0.000
O  0.000  0.500  0.500
O  0.500  0.000  0.500

Properties
* symmetry: P4/mmm, No. 123
* energy: -4.337 eV per atom
* Fermi-level density of states: 1.08 states/eV/cell
* crystal system: tetragonal
* spin magnetization: 0.00 μB per formula unit